No. 1
{
  "formula": "IrRu2Cl",
  "functional": "GGA-PBE",
  "state": "relaxed",
  "e_form_raw_ev_per_atom": 0.506,
  "rho_g_cm3": 9.328,
  "n_ef_per_ev_cell": 5.3,
  "m_tot_mub_per_cell": 0.0,
  "e_above_lowest_polymorph_ev_per_atom": 0.108,
  "cell": [[4.2688, -1.3921, 0.0000], [4.2688, 1.3921, 0.0000], [-4.2544, 0.0000, 6.4378]],
  "species": ["Ir", "Ru", "Ru", "Cl"],
  "fractional_positions": [[0.0000, 0.0000, 0.0000], [0.1919, 0.1919, 0.8333], [0.8081, 0.8081, 0.1667], [0.5000, 0.5000, 0.5000]]
}

***

No. 2
{
  "formula": "CsNa2CeBr8",
  "functional": "GGA-PBE",
  "state": "relaxed",
  "e_form_raw_ev_per_atom": -1.446,
  "rho_g_cm3": 3.482,
  "n_ef_per_ev_cell": 2.1,
  "m_tot_mub_per_cell": 0.3,
  "cell": [[6.1699, 0.0000, 0.0000], [-0.1314, 7.2807, 0.0000], [-0.0286, -0.0064, 10.1724]],
  "species": ["Cs", "Na", "Na", "Ce", "Br", "Br", "Br", "Br", "Br", "Br", "Br", "Br"],
  "fractional_positions": [[0.0000, 0.0000, 0.0000], [0.5004, 0.4999, 0.2719], [0.4996, 0.5001, 0.7281], [0.0000, 0.0000, 0.5000], [0.2475, 0.8448, 0.3004], [0.2495, 0.3263, 0.4996], [0.2492, 0.8462, 0.7003], [0.2514, 0.4894, 0.0000], [0.7486, 0.5106, 0.0000], [0.7508, 0.1538, 0.2997], [0.7505, 0.6737, 0.5004], [0.7525, 0.1552, 0.6996]]
}

***

No. 3
{
  "formula": "SrLiSiNi",
  "functional": "GGA-PBE",
  "state": "relaxed",
  "e_form_raw_ev_per_atom": -0.325,
  "rho_g_cm3": 3.193,
  "n_ef_per_ev_cell": 4.9,
  "m_tot_mub_per_cell": 0.0,
  "cell": [[4.0176, 0.0000, 0.0000], [0.0000, 4.0176, 0.0000], [0.0000, 0.0000, 11.6839]],
  "species": ["Sr", "Sr", "Li", "Li", "Si", "Si", "Ni", "Ni"],
  "fractional_positions": [[0.2500, 0.2500, 0.2269], [0.7500, 0.7500, 0.7731], [0.2500, 0.7500, 0.5000], [0.7500, 0.2500, 0.5000], [0.2500, 0.2500, 0.9052], [0.7500, 0.7500, 0.0948], [0.2500, 0.7500, 0.0000], [0.7500, 0.2500, 0.0000]]
}

***

No. 4
{
  "formula": "U2MnSi3Ni12",
  "functional": "GGA-PBE",
  "state": "relaxed",
  "e_form_raw_ev_per_atom": -0.113,
  "rho_g_cm3": 9.283,
  "n_ef_per_ev_cell": 10.1,
  "m_tot_mub_per_cell": 3.0,
  "cell": [[4.1489, 2.3953, 3.9587], [-4.1489, 2.3953, 3.9587], [0.0000, -4.7907, 3.9587]],
  "species": ["U", "U", "Mn", "Si", "Si", "Si", "Ni", "Ni", "Ni", "Ni", "Ni", "Ni", "Ni", "Ni", "Ni", "Ni", "Ni", "Ni"],
  "fractional_positions": [[0.1063, 0.1063, 0.1063], [0.8937, 0.8937, 0.8937], [0.5000, 0.5000, 0.5000], [0.0000, 0.5000, 0.5000], [0.5000, 0.0000, 0.5000], [0.5000, 0.5000, 0.0000], [0.1252, 0.1252, 0.5599], [0.1252, 0.5599, 0.1252], [0.1875, 0.6947, 0.6947], [0.3053, 0.3053, 0.8125], [0.3053, 0.8125, 0.3053], [0.4401, 0.8748, 0.8748], [0.5599, 0.1252, 0.1252], [0.6947, 0.1875, 0.6947], [0.6947, 0.6947, 0.1875], [0.8125, 0.3053, 0.3053], [0.8748, 0.4401, 0.8748], [0.8748, 0.8748, 0.4401]]
}

***

No. 5
{
  "formula": "SrHfHg",
  "functional": "GGA-PBE",
  "state": "relaxed",
  "formation_energy_ev_per_atom": 0.13,
  "rho_g_cm3": 8.986,
  "n_ef_per_ev_cell": 7.0,
  "m_tot_mub_per_cell": 0.0,
  "e_above_lowest_polymorph_ev_per_atom": 0.141,
  "cell": [[6.9382, -1.7308, 0.0000], [6.9382, 1.7308, 0.0000], [-1.7739, 0.0000, 7.1817]],
  "species": ["Sr", "Sr", "Hf", "Hf", "Hg", "Hg"],
  "fractional_positions": [[0.0000, 0.0000, 0.0000], [0.0465, 0.0465, 0.5421], [0.3047, 0.3047, 0.6315], [0.7153, 0.7153, 0.3064], [0.3793, 0.3793, 0.2525], [0.7108, 0.7108, 0.8907]]
}

***

No. 6
{
  "formula": "Tb6Er2In",
  "functional": "GGA-PBE",
  "state": "relaxed",
  "formation_energy_ev_per_atom": -0.03,
  "rho_g_cm3": 8.494,
  "n_ef_per_ev_cell": 21.2,
  "m_tot_mub_per_cell": 0.0,
  "e_above_lowest_polymorph_ev_per_atom": 0.007,
  "cell": [[10.3279, -4.5824, 0.0000], [10.3279, 4.5824, 0.0000], [-1.7689, 0.0000, 5.7948]],
  "species": ["Tb", "Tb", "Tb", "Tb", "Tb", "Tb", "Tb", "Tb", "Tb", "Tb", "Tb", "Tb", "Er", "Er", "Er", "Er", "In", "In"],
  "fractional_positions": [[0.0060, 0.1507, 0.4319], [0.0819, 0.5809, 0.0815], [0.1507, 0.0060, 0.9319], [0.3476, 0.4950, 0.7712], [0.4191, 0.9181, 0.4185], [0.4950, 0.3476, 0.2712], [0.5050, 0.6524, 0.7288], [0.5809, 0.0819, 0.5815], [0.6524, 0.5050, 0.2288], [0.8493, 0.9940, 0.0681], [0.9181, 0.4191, 0.9185], [0.9940, 0.8493, 0.5681], [0.1698, 0.3294, 0.4435], [0.3294, 0.1698, 0.9435], [0.6706, 0.8302, 0.0565], [0.8302, 0.6706, 0.5565], [0.2514, 0.7486, 0.2500], [0.7486, 0.2514, 0.7500]]
}

***

No. 7
{
  "formula": "TlCr2TeIr",
  "functional": "GGA-PBE",
  "state": "relaxed",
  "e_form_raw_ev_per_atom": 0.720,
  "rho_g_cm3": 8.087,
  "n_ef_per_ev_cell": 4.3,
  "m_tot_mub_per_cell": 8.0,
  "cell": [[4.9757, 0.0000, 0.0000], [0.0000, 4.9757, 0.0000], [0.0000, 0.0000, 5.2100]],
  "species": ["Tl", "Cr", "Cr", "Te", "Ir"],
  "fractional_positions": [[0.0000, 0.0000, 0.0000], [0.0000, 0.5000, 0.5000], [0.5000, 0.0000, 0.5000], [0.5000, 0.5000, 0.0000], [0.5000, 0.5000, 0.5000]]
}

***

No. 8
{
  "formula": "MgTaP",
  "functional": "GGA-PBE",
  "state": "relaxed",
  "formation_energy_ev_per_atom": 0.60,
  "rho_g_cm3": 6.768,
  "n_ef_per_ev_cell": 2.8,
  "m_tot_mub_per_cell": 0.0,
  "e_above_lowest_polymorph_ev_per_atom": 0.859,
  "cell": [[0.0000, 3.0716, 3.0716], [3.0716, 0.0000, 3.0716], [3.0716, 3.0716, 0.0000]],
  "species": ["Mg", "Ta", "P"],
  "fractional_positions": [[0.0000, 0.0000, 0.0000], [0.2500, 0.2500, 0.2500], [0.5000, 0.5000, 0.5000]]
}

***

No. 9
{
  "formula": "SeSN3",
  "functional": "GGA-PBE",
  "state": "relaxed",
  "e_form_raw_ev_per_atom": 2.458,
  "rho_g_cm3": 4.773,
  "n_ef_per_ev_cell": 2.2,
  "m_tot_mub_per_cell": 0.0,
  "cell": [[3.7620, 0.0000, 0.0000], [0.0000, 3.7620, 0.0000], [0.0000, 0.0000, 3.7620]],
  "species": ["Se", "S", "N", "N", "N"],
  "fractional_positions": [[0.0000, 0.0000, 0.0000], [0.5000, 0.5000, 0.5000], [0.0000, 0.0000, 0.5000], [0.0000, 0.5000, 0.0000], [0.5000, 0.0000, 0.0000]]
}

***

No. 10
{
  "formula": "BaZnGa2Rh",
  "functional": "GGA-PBE",
  "state": "relaxed",
  "formation_energy_ev_per_atom": -0.49,
  "rho_g_cm3": 6.340,
  "n_ef_per_ev_cell": 3.8,
  "m_tot_mub_per_cell": 0.0,
  "cell": [[4.8493, 0.0000, 0.0000], [0.0000, 4.8493, 0.0000], [0.0000, 0.0000, 4.9577]],
  "species": ["Ba", "Zn", "Ga", "Ga", "Rh"],
  "fractional_positions": [[0.0000, 0.0000, 0.0000], [0.5000, 0.5000, 0.0000], [0.0000, 0.5000, 0.5000], [0.5000, 0.0000, 0.5000], [0.5000, 0.5000, 0.5000]]
}

***

No. 11
{
  "formula": "LiY2Mn",
  "functional": "GGA-PBE",
  "state": "relaxed",
  "formation_energy_ev_per_atom": 0.22,
  "rho_g_cm3": 4.189,
  "n_ef_per_ev_cell": 4.0,
  "m_tot_mub_per_cell": 3.3,
  "cell": [[3.4904, 0.0000, 0.0000], [0.0000, 3.4904, 0.0000], [0.0000, 0.0000, 7.7994]],
  "species": ["Li", "Y", "Y", "Mn"],
  "fractional_positions": [[0.0000, 0.0000, 0.0000], [0.0000, 0.0000, 0.3948], [0.5000, 0.5000, 0.7379], [0.5000, 0.5000, 0.1525]]
}

***

No. 12
{
  "formula": "K2YHg",
  "functional": "GGA-PBE",
  "state": "relaxed",
  "formation_energy_ev_per_atom": 0.21,
  "rho_g_cm3": 3.808,
  "n_ef_per_ev_cell": 4.7,
  "m_tot_mub_per_cell": 0.4,
  "cell": [[1.9014, 1.0978, 12.8018], [-1.9014, 1.0978, 12.8018], [0.0000, -2.1955, 12.8018]],
  "species": ["K", "K", "Y", "Hg"],
  "fractional_positions": [[0.2422, 0.2422, 0.2422], [0.7578, 0.7578, 0.7578], [0.0000, 0.0000, 0.0000], [0.5000, 0.5000, 0.5000]]
}

***

No. 13
{
  "formula": "La3Al2ZnPd9",
  "functional": "GGA-PBE",
  "state": "relaxed",
  "formation_energy_ev_per_atom": -0.67,
  "rho_g_cm3": 7.753,
  "n_ef_per_ev_cell": 3.8,
  "m_tot_mub_per_cell": 0.0,
  "cell": [[5.8176, 0.0000, 0.0000], [-2.9088, 5.0382, 0.0000], [0.0000, 0.0000, 10.9158]],
  "species": ["La", "La", "La", "Al", "Al", "Zn", "Pd", "Pd", "Pd", "Pd", "Pd", "Pd", "Pd", "Pd", "Pd"],
  "fractional_positions": [[0.0000, 0.0000, 0.0000], [0.3333, 0.6667, 0.6364], [0.6667, 0.3333, 0.3636], [0.3333, 0.6667, 0.1657], [0.6667, 0.3333, 0.8343], [0.0000, 0.0000, 0.5000], [0.0000, 0.5000, 0.0000], [0.1645, 0.3289, 0.3251], [0.1645, 0.8355, 0.3251], [0.3289, 0.1645, 0.6749], [0.5000, 0.0000, 0.0000], [0.5000, 0.5000, 0.0000], [0.6711, 0.8355, 0.3251], [0.8355, 0.1645, 0.6749], [0.8355, 0.6711, 0.6749]]
}

***

No. 14
{
  "formula": "TmScGaOs",
  "functional": "GGA-PBE",
  "state": "relaxed",
  "formation_energy_ev_per_atom": -0.45,
  "rho_g_cm3": 10.394,
  "n_ef_per_ev_cell": 3.3,
  "m_tot_mub_per_cell": 0.0,
  "cell": [[0.0000, 3.3575, 3.3575], [3.3575, 0.0000, 3.3575], [3.3575, 3.3575, 0.0000]],
  "species": ["Tm", "Sc", "Ga", "Os"],
  "fractional_positions": [[0.0000, 0.0000, 0.0000], [0.5000, 0.5000, 0.5000], [0.2500, 0.2500, 0.2500], [0.7500, 0.7500, 0.7500]]
}

***

No. 15
{
  "formula": "TaAlIrRh",
  "functional": "GGA-PBE",
  "state": "relaxed",
  "formation_energy_ev_per_atom": -0.77,
  "rho_g_cm3": 13.776,
  "n_ef_per_ev_cell": 1.4,
  "m_tot_mub_per_cell": 0.0,
  "e_above_lowest_polymorph_ev_per_atom": 0.000,
  "cell": [[-2.0403, 2.0403, 3.6415], [2.0403, -2.0403, 3.6415], [2.0403, 2.0403, -3.6415]],
  "species": ["Ta", "Al", "Ir", "Rh"],
  "fractional_positions": [[0.0000, 0.0000, 0.0000], [0.5000, 0.5000, 0.0000], [0.7500, 0.2500, 0.5000], [0.2500, 0.7500, 0.5000]]
}

***

No. 16
{
  "formula": "SbPSe",
  "functional": "GGA-PBE",
  "state": "relaxed",
  "e_form_raw_ev_per_atom": 0.162,
  "rho_g_cm3": 5.202,
  "n_ef_per_ev_cell": 2.6,
  "m_tot_mub_per_cell": 0.0,
  "e_above_lowest_polymorph_ev_per_atom": 0.174,
  "cell": [[3.6455, 0.0000, 0.0000], [0.0000, 3.6455, 0.0000], [0.0000, 0.0000, 11.1309]],
  "species": ["Sb", "Sb", "P", "P", "Se", "Se"],
  "fractional_positions": [[0.2500, 0.2500, 0.2264], [0.7500, 0.7500, 0.7736], [0.2500, 0.7500, 0.0000], [0.7500, 0.2500, 0.0000], [0.2500, 0.2500, 0.6588], [0.7500, 0.7500, 0.3412]]
}

***

No. 17
{
  "formula": "LiCe2Hg4Pb",
  "functional": "GGA-PBE",
  "state": "relaxed",
  "formation_energy_ev_per_atom": -0.36,
  "rho_g_cm3": 10.602,
  "n_ef_per_ev_cell": 15.3,
  "m_tot_mub_per_cell": 1.9,
  "cell": [[2.6326, 1.5199, 8.4595], [-2.6326, 1.5199, 8.4595], [0.0000, -3.0399, 8.4595]],
  "species": ["Li", "Ce", "Ce", "Hg", "Hg", "Hg", "Hg", "Pb"],
  "fractional_positions": [[0.0000, 0.0000, 0.0000], [0.2434, 0.2434, 0.2434], [0.7566, 0.7566, 0.7566], [0.1130, 0.1130, 0.1130], [0.3673, 0.3673, 0.3673], [0.6327, 0.6327, 0.6327], [0.8870, 0.8870, 0.8870], [0.5000, 0.5000, 0.5000]]
}

***

No. 18
{
  "formula": "TbDyEr2Tm",
  "functional": "GGA-PBE",
  "state": "relaxed",
  "formation_energy_ev_per_atom": 0.40,
  "rho_g_cm3": 8.212,
  "n_ef_per_ev_cell": 12.6,
  "m_tot_mub_per_cell": 0.0,
  "cell": [[4.1313, -5.6524, 0.0000], [4.1313, 5.6524, 0.0000], [0.0000, 0.0000, 7.1428]],
  "species": ["Tb", "Tb", "Dy", "Dy", "Er", "Er", "Er", "Er", "Tm", "Tm"],
  "fractional_positions": [[0.2246, 0.7754, 0.7500], [0.7754, 0.2246, 0.2500], [0.2245, 0.7755, 0.2500], [0.7755, 0.2245, 0.7500], [0.1911, 0.1911, 0.0000], [0.1911, 0.1911, 0.5000], [0.8089, 0.8089, 0.0000], [0.8089, 0.8089, 0.5000], [0.4994, 0.5006, 0.7500], [0.5006, 0.4994, 0.2500]]
}

***

No. 19
{
  "formula": "Ho12Er7Th",
  "functional": "GGA-PBE",
  "state": "relaxed",
  "formation_energy_ev_per_atom": 0.24,
  "rho_g_cm3": 8.741,
  "n_ef_per_ev_cell": 39.8,
  "m_tot_mub_per_cell": 0.0,
  "e_above_lowest_polymorph_ev_per_atom": 0.000,
  "cell": [[6.0556, 3.4962, 5.0576], [-6.0556, 3.4962, 5.0576], [0.0000, -6.9924, 5.0576]],
  "species": ["Ho", "Ho", "Ho", "Ho", "Ho", "Ho", "Ho", "Ho", "Ho", "Ho", "Ho", "Ho", "Er", "Er", "Er", "Er", "Er", "Er", "Er", "Th"],
  "fractional_positions": [[0.0018, 0.1189, 0.6460], [0.1189, 0.6460, 0.0018], [0.2177, 0.7595, 0.6350], [0.2405, 0.3650, 0.7823], [0.3540, 0.9982, 0.8811], [0.3650, 0.7823, 0.2405], [0.6350, 0.2177, 0.7595], [0.6460, 0.0018, 0.1189], [0.7595, 0.6350, 0.2177], [0.7823, 0.2405, 0.3650], [0.8811, 0.3540, 0.9982], [0.9982, 0.8811, 0.3540], [0.0000, 0.0000, 0.0000], [0.1199, 0.4509, 0.3458], [0.3458, 0.1199, 0.4509], [0.4509, 0.3458, 0.1199], [0.5491, 0.6542, 0.8801], [0.6542, 0.8801, 0.5491], [0.8801, 0.5491, 0.6542], [0.5000, 0.5000, 0.5000]]
}

***

No. 20
{
  "formula": "Pd3Pt4W",
  "functional": "GGA-PBE",
  "state": "relaxed",
  "formation_energy_ev_per_atom": -0.17,
  "rho_g_cm3": 17.161,
  "n_ef_per_ev_cell": 7.7,
  "m_tot_mub_per_cell": 0.0,
  "e_above_lowest_polymorph_ev_per_atom": 0.000,
  "cell": [[-1.9905, 1.9905, 7.8362], [1.9905, -1.9905, 7.8362], [1.9905, 1.9905, -7.8362]],
  "species": ["Pd", "Pd", "Pd", "Pt", "Pt", "Pt", "Pt", "W"],
  "fractional_positions": [[0.0000, 0.0000, 0.0000], [0.2479, 0.2479, 0.0000], [0.7521, 0.7521, 0.0000], [0.1196, 0.6196, 0.5000], [0.3804, 0.8804, 0.5000], [0.6196, 0.1196, 0.5000], [0.8804, 0.3804, 0.5000], [0.5000, 0.5000, 0.0000]]
}